(A)
Compound: LaTl2H2
Source: the Alexandria database
Functional: GGA-PBE
Structure: relaxed

Cell lengths 3.824, 3.824, 7.558 Å; angles 75.34, 75.34, 90.00 degrees
Element x y z (fractional)
La (0.000, 0.000, 0.000)
Tl (0.655, 0.655, 0.689)
Tl (0.345, 0.345, 0.311)
H (0.750, 0.250, 0.500)
H (0.250, 0.750, 0.500)

Properties
D(E_F) ... 2.2 states/eV/f.u.


(B)
Compound: LaTl2H2
Source: the Alexandria database
Functional: GGA-PBE
Structure: relaxed

Cell lengths 6.657, 6.657, 4.870 Å; angles 90.00, 90.00, 90.00 degrees
Element x y z (fractional)
H (0.221, 0.721, 0.000)
H (0.279, 0.221, 0.000)
H (0.721, 0.779, 0.000)
H (0.779, 0.279, 0.000)
Tl (0.187, 0.687, 0.500)
Tl (0.813, 0.313, 0.500)
Tl (0.313, 0.187, 0.500)
Tl (0.687, 0.813, 0.500)
La (0.000, 0.000, 0.000)
La (0.500, 0.500, 0.000)

Properties
D(E_F) ... 1.8 states/eV/f.u.


Stability summary: most stable (B), least stable (A).